Version A
Computed, not measured: AlPdN2F after structural relaxation at the PBE level of DFT.

Calculated volume: 10.56 A^3/atom
DOS at the Fermi energy: 2.60 states/eV per cell

abc: 3.8708 3.8708 3.5223
angles: 90.00 90.00 90.00
Last column: nearest neighbours and their distance in Å.
Space group P4/mmm (No. 123)
Symmetry-distinct sites (fractional):
Al  0.0000  0.0000  0.0000  2 F 1.76, 4 N 1.94
Pd  0.5000  0.5000  0.5000  8 N 2.62, 4 F 2.74
N  0.0000  0.5000  0.0000  2 Al 1.94
F  0.0000  0.0000  0.5000  2 Al 1.76

---

Version B
Computed, not measured: AlPdN2F after structural relaxation at the PBE level of DFT.

Calculated volume: 13.21 A^3/atom
DOS at the Fermi energy: 3.42 states/eV per cell

abc: 3.9763 3.9763 4.1772
angles: 90.00 90.00 90.00
Last column: nearest neighbours and their distance in Å.
Space group P4/mmm (No. 123)
Symmetry-distinct sites (fractional):
Al  0.0000  0.0000  0.0000  4 F 2.81, 8 N 2.88
Pd  0.5000  0.5000  0.5000  4 N 1.99, 2 F 2.09
N  0.0000  0.5000  0.5000  2 Pd 1.99
F  0.5000  0.5000  0.0000  2 Pd 2.09

---

version A takes first place; second place is 0.902 eV/atom up.

---

Version A
Computed, not measured: RbAlN2F after structural relaxation at the PBE level of DFT.

Calculated volume: 14.10 A^3/atom
DOS at the Fermi energy: 3.02 states/eV per cell

abc: 3.8117 3.8117 4.8526
angles: 90.00 90.00 90.00
Last column: nearest neighbours and their distance in Å.
Space group P4/mmm (No. 123)
Symmetry-distinct sites (fractional):
Rb  0.0000  0.0000  0.0000  4 F 2.70
Al  0.5000  0.5000  0.5000  4 N 1.91
N  0.0000  0.5000  0.5000  2 Al 1.91
F  0.5000  0.5000  0.0000  2 Al 2.43, 4 Rb 2.70

---

Version B
Computed, not measured: RbAlN2F after structural relaxation at the PBE level of DFT.

Calculated volume: 29.96 A^3/atom
DOS at the Fermi energy: 1.97 states/eV per cell

abc: 5.4489 5.4489 5.0449
angles: 90.00 90.00 90.00
Last column: nearest neighbours and their distance in Å.
Space group P4/mmm (No. 123)
Symmetry-distinct sites (fractional):
Rb  0.0000  0.0000  0.0000  2 F 2.52, 4 N 2.72
Al  0.5000  0.5000  0.5000  8 N 3.71, 4 F 3.85
N  0.0000  0.5000  0.0000  2 Rb 2.72
F  0.0000  0.0000  0.5000  2 Rb 2.52

---

version A takes first place; second place is 1.855 eV/atom up.

---

Version A
Computed, not measured: AlSNF2 after structural relaxation at the PBE level of DFT.

Calculated volume: 11.18 A^3/atom
DOS at the Fermi energy: 1.64 states/eV per cell

abc: 3.4707 3.4707 4.6402
angles: 90.00 90.00 90.00
Last column: nearest neighbours and their distance in Å.
Space group P4/mmm (No. 123)
Symmetry-distinct sites (fractional):
Al  0.0000  0.0000  0.0000  4 F 1.74
S  0.5000  0.5000  0.5000  4 N 2.45
N  0.0000  0.0000  0.5000  2 Al 2.32, 4 S 2.45
F  0.0000  0.5000  0.0000  2 Al 1.74

---

Version B
Computed, not measured: AlSNF2 after structural relaxation at the PBE level of DFT.

Calculated volume: 14.49 A^3/atom
DOS at the Fermi energy: 2.23 states/eV per cell

abc: 4.6830 4.6830 3.3035
angles: 90.00 90.00 90.00
Last column: nearest neighbours and their distance in Å.
Space group P4/mmm (No. 123)
Symmetry-distinct sites (fractional):
Al  0.0000  0.0000  0.0000  8 F 2.87
S  0.5000  0.5000  0.5000  2 N 1.65
N  0.5000  0.5000  0.0000  2 S 1.65
F  0.0000  0.5000  0.5000  2 S 2.34

---

version A takes first place; second place is 0.927 eV/atom up.